# Rb2GeI2Cl2 | Alexandria via LeMat-Bulk | PBE-GGA | relaxed
data_Rb2GeI2Cl2
_symmetry_space_group_name_H-M 'C 1 2/m 1'
_symmetry_Int_Tables_number 12
_cell_length_a 16.635
_cell_length_b 4.565
_cell_length_c 8.311
_cell_angle_alpha 90.00
_cell_angle_beta 119.57
_cell_angle_gamma 90.00
loop_
_symmetry_equiv_pos_as_xyz
'x,y,z'
'-x,-y,-z'
'-x,y,-z'
'x,-y,z'
'x+1/2,y+1/2,z'
'-x+1/2,-y+1/2,-z'
'-x+1/2,y+1/2,-z'
'x+1/2,-y+1/2,z'
loop_
_atom_site_label
_atom_site_type_symbol
_atom_site_fract_x
_atom_site_fract_y
_atom_site_fract_z
Rb1 Rb 0.166 0.000 0.206
Ge1 Ge 0.000 0.000 0.500
I1 I 0.026 0.500 0.775
Cl1 Cl 0.179 0.000 0.617
# raw formation energy = -1.213 eV/atom
# total energy = -3.12 eV per atom

=====

# Ce2SmScP4 | Alexandria via LeMat-Bulk | PBE-GGA | relaxed
data_Ce2SmScP4
_symmetry_space_group_name_H-M 'P 1 2/m 1'
_symmetry_Int_Tables_number 10
_cell_length_a 6.934
_cell_length_b 4.024
_cell_length_c 6.962
_cell_angle_alpha 90.00
_cell_angle_beta 109.55
_cell_angle_gamma 90.00
loop_
_symmetry_equiv_pos_as_xyz
'x,y,z'
'-x,-y,-z'
'-x,y,-z'
'x,-y,z'
loop_
_atom_site_label
_atom_site_type_symbol
_atom_site_fract_x
_atom_site_fract_y
_atom_site_fract_z
Ce1 Ce 0.000 0.000 0.000
Ce2 Ce 0.000 0.500 0.500
Sm1 Sm 0.500 0.000 0.500
Sc1 Sc 0.500 0.500 0.000
P1 P 0.254 0.500 0.241
P2 P 0.261 0.000 0.763
# energy relative to the elements = -1.489 eV per atom
# total energy = -7.06 eV per atom

=====

# RbSn2Ge | Alexandria via LeMat-Bulk | PBE-GGA | relaxed
data_RbSn2Ge
_symmetry_space_group_name_H-M 'R 3 m'
_symmetry_Int_Tables_number 160
_symmetry_space_group_name_Hall 'R 3 -2"'
_cell_length_a 4.9259
_cell_length_b 4.9259
_cell_length_c 20.5518
_cell_angle_alpha 90.00
_cell_angle_beta 90.00
_cell_angle_gamma 120.00
loop_
_atom_site_label
_atom_site_type_symbol
_atom_site_fract_x
_atom_site_fract_y
_atom_site_fract_z
Rb1 Rb 0.0000 0.0000 0.0000
Sn1 Sn 0.0000 0.0000 0.5364
Sn2 Sn 0.0000 0.0000 0.7947
Ge1 Ge 0.0000 0.0000 0.1959
# energy relative to the elements = 0.007 eV per atom
# total energy = -3.39 eV per atom

=====

# La3Nd3Ni2 | Alexandria via LeMat-Bulk | PBE-GGA | relaxed
data_La3Nd3Ni2
_symmetry_space_group_name_H-M 'C m c m'
_symmetry_Int_Tables_number 63
_symmetry_space_group_name_Hall '-C 2c 2'
_cell_length_a 3.793
_cell_length_b 13.572
_cell_length_c 18.975
_cell_angle_alpha 90.00
_cell_angle_beta 90.00
_cell_angle_gamma 90.00
loop_
_atom_site_label
_atom_site_type_symbol
_atom_site_fract_x
_atom_site_fract_y
_atom_site_fract_z
La1 La 0.000 0.082 0.250
La2 La 0.000 0.172 0.563
Nd1 Nd 0.000 0.193 0.750
Nd2 Nd 0.000 0.436 0.591
Ni1 Ni 0.000 0.214 0.137
# energy relative to the elements = -0.093 eV per atom
# total energy = -5.17 eV per atom

=====

# BaLi2TeF8 | Alexandria via LeMat-Bulk | PBE-GGA | relaxed
data_BaLi2TeF8
_symmetry_space_group_name_H-M 'R -3'
_symmetry_Int_Tables_number 148
_symmetry_space_group_name_Hall '-R 3'
_cell_length_a 5.0600
_cell_length_b 5.0600
_cell_length_c 23.4874
_cell_angle_alpha 90.00
_cell_angle_beta 90.00
_cell_angle_gamma 120.00
loop_
_atom_site_label
_atom_site_type_symbol
_atom_site_fract_x
_atom_site_fract_y
_atom_site_fract_z
Ba1 Ba 0.0000 0.0000 0.0000
Li1 Li 0.0000 0.0000 0.2488
Te1 Te 0.0000 0.0000 0.5000
F1 F 0.0000 0.0000 0.3244
F2 F 0.0012 0.6542 0.7792
# raw formation energy = -2.768 eV/atom
# total energy = -4.76 eV per atom

=====

# Pa2SbRu4 | Alexandria via LeMat-Bulk | PBE-GGA | relaxed
data_Pa2SbRu4
_symmetry_space_group_name_H-M 'C 1 2/m 1'
_symmetry_Int_Tables_number 12
_cell_length_a 8.296
_cell_length_b 5.786
_cell_length_c 6.385
_cell_angle_alpha 90.00
_cell_angle_beta 96.85
_cell_angle_gamma 90.00
loop_
_symmetry_equiv_pos_as_xyz
'x,y,z'
'-x,-y,-z'
'-x,y,-z'
'x,-y,z'
'x+1/2,y+1/2,z'
'-x+1/2,-y+1/2,-z'
'-x+1/2,y+1/2,-z'
'x+1/2,-y+1/2,z'
loop_
_atom_site_label
_atom_site_type_symbol
_atom_site_fract_x
_atom_site_fract_y
_atom_site_fract_z
Pa1 Pa 0.056 0.000 0.265
Sb1 Sb 0.000 0.500 0.000
Ru1 Ru 0.221 0.000 0.611
Ru2 Ru 0.250 0.250 0.000
# raw formation energy = -0.101 eV/atom
# total energy = -8.70 eV per atom

=====

# SrPuO2 | Alexandria via LeMat-Bulk | PBE-GGA | relaxed
data_SrPuO2
_symmetry_space_group_name_H-M 'P 4/m m m'
_symmetry_Int_Tables_number 123
_symmetry_space_group_name_Hall '-P 4 2'
_cell_length_a 3.082
_cell_length_b 3.082
_cell_length_c 6.293
_cell_angle_alpha 90.00
_cell_angle_beta 90.00
_cell_angle_gamma 90.00
loop_
_atom_site_label
_atom_site_type_symbol
_atom_site_fract_x
_atom_site_fract_y
_atom_site_fract_z
Sr1 Sr 0.000 0.000 0.000
Pu1 Pu 0.000 0.000 0.500
O1 O 0.500 0.500 0.252
# raw formation energy = -2.066 eV/atom
# total energy = -8.55 eV per atom
# excess energy over the best structure of this formula in the dataset = 460 meV per atom

=====

# PuNpPt2 | Alexandria via LeMat-Bulk | PBE-GGA | relaxed
data_PuNpPt2
_symmetry_space_group_name_H-M 'R -3 m'
_symmetry_Int_Tables_number 166
_symmetry_space_group_name_Hall '-R 3 2"'
_cell_length_a 4.0651
_cell_length_b 4.0651
_cell_length_c 20.0320
_cell_angle_alpha 90.00
_cell_angle_beta 90.00
_cell_angle_gamma 120.00
loop_
_atom_site_label
_atom_site_type_symbol
_atom_site_fract_x
_atom_site_fract_y
_atom_site_fract_z
Pu1 Pu 0.0000 0.0000 0.0000
Np1 Np 0.0000 0.0000 0.5000
Pt1 Pt 0.0000 0.0000 0.2468
# energy relative to the elements = -0.562 eV per atom
# total energy = -10.40 eV per atom
# excess energy over the best structure of this formula in the dataset = 17 meV per atom